1.
The following is a DFT calculation (PBE-GGA) of an optimized crystal structure of LiCuNiSe2S.

Computed properties:
* electronic total energy: -48.905 eV for the cell shown

abc: 6.164 6.164 9.466
angles: 90.00 90.00 146.52
Element x y z (fractional)
Cu: 0.560 0.440 0.250
Cu: 0.440 0.560 0.750
Li: 0.275 0.725 0.250
Li: 0.725 0.275 0.750
Ni: 0.000 0.000 0.000
Ni: 0.000 0.000 0.500
S: 0.940 0.060 0.250
S: 0.060 0.940 0.750
Se: 0.643 0.357 0.024
Se: 0.643 0.357 0.476
Se: 0.357 0.643 0.524
Se: 0.357 0.643 0.976

***

2.
The following is a DFT calculation (PBE-GGA) of an optimized crystal structure of Lu2ZnN.

Computed properties:
* energy relative to the lowest polymorph listed for this composition: 7 meV per atom

abc: 5.829 5.829 15.110
angles: 101.25 101.25 59.87
Site moments in Bohr magnetons follow the coordinates.
Element x y z (fractional)
Lu: 0.025 0.199 0.085  0.13
Lu: 0.695 0.858 0.085  0.13
Lu: 0.373 0.534 0.102  0.07
Lu: 0.466 0.627 0.398  0.07
Lu: 0.142 0.305 0.415  0.12
Lu: 0.801 0.975 0.415  0.12
Lu: 0.199 0.025 0.585  0.12
Lu: 0.858 0.695 0.585  0.12
Lu: 0.534 0.373 0.602  0.07
Lu: 0.627 0.466 0.898  0.07
Lu: 0.305 0.142 0.915  0.13
Lu: 0.975 0.801 0.915  0.13
N: 0.662 0.175 0.000  0.00
N: 0.000 0.500 0.000  0.00
N: 0.338 0.825 0.000  0.00
N: 0.175 0.662 0.500  0.00
N: 0.500 0.000 0.500  -0.01
N: 0.825 0.338 0.500  0.00
Zn: 0.860 0.584 0.250  0.04
Zn: 0.960 0.040 0.250  0.04
Zn: 0.416 0.140 0.250  0.03
Zn: 0.584 0.860 0.750  0.03
Zn: 0.040 0.960 0.750  0.04
Zn: 0.140 0.416 0.750  0.04

***

3.
The following is a DFT calculation (PBE-GGA) of an optimized crystal structure of LaSmB2Pt8.

Computed properties:
* energy relative to the lowest polymorph listed for this composition: 36 meV per atom

abc: 5.503 5.503 7.705
angles: 90.00 90.00 120.00
Element x y z (fractional)
B: 0.667 0.333 0.500
B: 0.333 0.667 0.500
La: 0.000 0.000 0.500
Pt: 0.667 0.333 0.000
Pt: 0.333 0.667 0.000
Pt: 0.500 0.000 0.300
Pt: 0.000 0.500 0.300
Pt: 0.500 0.500 0.300
Pt: 0.500 0.000 0.700
Pt: 0.000 0.500 0.700
Pt: 0.500 0.500 0.700
Sm: 0.000 0.000 0.000

***

4.
The following is a DFT calculation (PBE-GGA) of an optimized crystal structure of KReB4.

Computed properties:
* energy relative to the lowest polymorph listed for this composition: 498 meV per atom

abc: 4.786 4.786 4.786
angles: 142.93 109.04 82.87
Element x y z (fractional)
B: 0.581 0.236 0.345
B: 0.109 0.764 0.345
B: 0.891 0.236 0.655
B: 0.419 0.764 0.655
K: 0.000 0.000 0.000
Re: 0.500 0.500 0.000

***

5.
The following is a DFT calculation (PBE-GGA) of an optimized crystal structure of Cd2AsPd.

Computed properties:
* electronic total energy: -11.630 eV for the cell shown

abc: 4.766 4.766 4.766
angles: 60.00 60.00 60.00
Element x y z (fractional)
As: 0.500 0.500 0.500
Cd: 0.000 0.000 0.000
Cd: 0.750 0.750 0.750
Pd: 0.250 0.250 0.250

***

6.
The following is a DFT calculation (PBE-GGA) of an optimized crystal structure of BaTl2Ag2.

Computed properties:
* energy relative to the lowest polymorph listed for this composition: 0 meV per atom

abc: 4.809 4.809 7.161
angles: 109.62 109.62 90.00
Element x y z (fractional)
Ag: 0.609 0.609 0.218
Ag: 0.391 0.391 0.782
Ba: 0.000 0.000 0.000
Tl: 0.750 0.250 0.500
Tl: 0.250 0.750 0.500